No. 1
{
  "formula": "Ac3InBi2Pd9",
  "functional": "PBE",
  "state": "relaxed",
  "cell": [[6.9820, 0.0000, 0.0000], [-3.4910, 6.0466, 0.0000], [0.0000, 0.0000, 9.6519]],
  "species": ["Ac", "Ac", "Ac", "In", "Bi", "Bi", "Pd", "Pd", "Pd", "Pd", "Pd", "Pd", "Pd", "Pd", "Pd"],
  "frac_coords": [[0.0000, 0.0000, 0.0000], [0.3333, 0.6667, 0.7463], [0.6667, 0.3333, 0.2537], [0.0000, 0.0000, 0.5000], [0.3333, 0.6667, 0.1954], [0.6667, 0.3333, 0.8046], [0.0000, 0.5000, 0.0000], [0.1292, 0.2583, 0.2739], [0.1292, 0.8708, 0.2739], [0.2583, 0.1292, 0.7261], [0.5000, 0.0000, 0.0000], [0.5000, 0.5000, 0.0000], [0.7417, 0.8708, 0.2739], [0.8708, 0.1292, 0.7261], [0.8708, 0.7417, 0.7261]],
  "space_group": "P-3m1",
  "energy_ev_per_atom": -5.081,
  "formation_energy_ev_per_atom": -0.44
}

No. 2
{
  "formula": "LaHfS2N",
  "functional": "PBE",
  "state": "relaxed",
  "cell": [[5.4208, 0.0000, 0.0000], [0.0000, 5.4208, 0.0000], [0.0000, 0.0000, 4.0809]],
  "species": ["La", "Hf", "S", "S", "N"],
  "frac_coords": [[0.0000, 0.0000, 0.0000], [0.5000, 0.5000, 0.5000], [0.0000, 0.5000, 0.0000], [0.5000, 0.0000, 0.0000], [0.0000, 0.0000, 0.5000]],
  "space_group": "P4/mmm",
  "energy_ev_per_atom": -6.096,
  "e_form_raw_ev_per_atom": 0.196,
  "polymorph_energy_ev_per_atom": 1.615
}

Total magnetization
In order: 0.00; 0.44
Unit: μB per formula unit